DFT (GGA-PBE) results for a geometry-optimized UMn10Cr2 structure.

Output
* raw total energy: -9.34 eV per atom
* formation enthalpy at 0 K: 66 meV per atom
* crystal system: orthorhombic
* space-group type: No. 63

Unit cell a=6.353 b=6.353 c=7.847 alpha=90.00 beta=90.00 gamma=96.79
Fractional coordinates of all 26 atoms:
Mn1 0.387 0.121 0.750
Mn2 0.224 0.224 0.500
Mn3 0.528 0.738 0.750
Mn4 0.879 0.613 0.750
Mn5 0.824 0.176 0.400
Cr1 0.500 0.000 0.000
Mn6 0.262 0.472 0.750
Cr2 0.000 0.500 0.500
Cr3 0.500 0.000 0.500
Mn7 0.472 0.262 0.250
Mn8 0.176 0.824 0.600
Mn9 0.776 0.776 0.500
Mn10 0.603 0.397 0.571
U1 0.895 0.105 0.750
Mn11 0.738 0.528 0.250
Mn12 0.824 0.176 0.100
Mn13 0.613 0.879 0.250
Mn14 0.121 0.387 0.250
Mn15 0.397 0.603 0.071
U2 0.105 0.895 0.250
Mn16 0.397 0.603 0.429
Cr4 0.000 0.500 0.000
Mn17 0.176 0.824 0.900
Mn18 0.224 0.224 0.000
Mn19 0.776 0.776 0.000
Mn20 0.603 0.397 0.929

---

DFT (GGA-PBE) results for a geometry-optimized CaNbZn structure.

Output
* raw total energy: -4.27 eV per atom
* energy above the most stable polymorph in this dataset: 0.088 eV/atom
* formation enthalpy at 0 K: 183 meV per atom
* crystal system: monoclinic
* space-group type: No. 8

Unit cell a=8.762 b=3.309 c=11.089 alpha=90.00 beta=121.75 gamma=90.00
Fractional coordinates of all 12 atoms:
Ca1 0.587 0.500 0.695
Ca2 0.587 0.000 0.195
Nb1 0.954 0.500 0.479
Nb2 0.768 0.500 0.037
Nb3 0.954 0.000 0.979
Zn1 0.235 0.000 0.523
Nb4 0.768 0.000 0.537
Zn2 0.968 0.500 0.767
Zn3 0.968 0.000 0.267
Zn4 0.235 0.500 0.023
Ca3 0.299 0.500 0.315
Ca4 0.299 0.000 0.815

---

DFT (GGA-PBE) results for a geometry-optimized NaCaYAg structure.

Output
* raw total energy: -3.13 eV per atom
* formation enthalpy at 0 K: 30 meV per atom
* crystal system: cubic
* space-group type: No. 216

Unit cell a=5.394 b=5.394 c=5.394 alpha=60.00 beta=60.00 gamma=60.00
Fractional coordinates of all 4 atoms:
Ca1 0.250 0.250 0.250
Y1 0.750 0.750 0.750
Na1 0.500 0.500 0.500
Ag1 0.000 0.000 0.000

---

DFT (GGA-PBE) results for a geometry-optimized MnTe2Ru structure.

Output
* raw total energy: -6.12 eV per atom
* energy above the most stable polymorph in this dataset: 0.168 eV/atom
* crystal system: trigonal
* space-group type: No. 160

Unit cell a=6.848 b=6.848 c=6.848 alpha=34.15 beta=34.15 gamma=34.15
Fractional coordinates of all 4 atoms:
Te1 0.213 0.213 0.213
Te2 0.032 0.032 0.032
Mn1 0.476 0.476 0.476
Ru1 0.778 0.778 0.778

---

DFT (GGA-PBE) results for a geometry-optimized SbRhN3 structure.

Output
* raw total energy: -5.43 eV per atom
* crystal system: cubic
* space-group type: No. 221

Unit cell a=3.978 b=3.978 c=3.978 alpha=90.00 beta=90.00 gamma=90.00
Fractional coordinates of all 5 atoms:
N1 0.000 0.000 0.500
Rh1 0.500 0.500 0.500
N2 0.500 0.000 0.000
N3 0.000 0.500 0.000
Sb1 0.000 0.000 0.000

---

DFT (GGA-PBE) results for a geometry-optimized K2Cd5Hg5 structure.

Output
* raw total energy: -0.81 eV per atom
* formation enthalpy at 0 K: -119 meV per atom
* crystal system: orthorhombic
* space-group type: No. 47

Unit cell a=5.302 b=6.077 c=10.851 alpha=90.00 beta=90.00 gamma=90.00
Fractional coordinates of all 12 atoms:
Hg1 0.000 0.500 0.667
Cd1 0.500 0.500 0.500
K1 0.000 0.000 0.500
Cd2 0.500 0.249 0.254
Cd3 0.500 0.751 0.254
Hg2 0.000 0.000 0.173
Cd4 0.500 0.249 0.746
Hg3 0.500 0.000 0.000
Cd5 0.500 0.751 0.746
Hg4 0.000 0.500 0.333
Hg5 0.000 0.000 0.827
K2 0.000 0.500 0.000